The following is a PBE calculation of NbTeS2Cl after structural relaxation, from the Alexandria database.

Cell and atoms, written as extended XYZ:
```
5
Lattice="-0.0635 -3.3816 3.5203 2.8102 -2.9040 -2.7389 3.9735 1.9820 1.9755" Properties=species:S:1:pos:R:3 pbc="T T T"
S 1.4051 -1.4520 -1.3694
S -0.0317 -1.6908 1.7602
Nb 0.0000 0.0000 0.0000
Cl 1.9868 0.9910 0.9877
Te 3.3601 -2.1518 1.3785
```

Computed properties:
Distance to the lowest polymorph of the same formula: 0 meV per atom
ρ: 4.59 Mg/m³
N(E_F): 4.54 states/eV/f.u.
E_form (uncorrected): -0.1522 eV per atom

The following is a PBE calculation of NbTeS2Cl after structural relaxation, from the Alexandria database.

Cell and atoms, written as extended XYZ:
```
5
Lattice="-0.6524 -2.2932 4.5897 -1.0549 -4.4678 -2.3822 4.8495 -1.1943 0.0926" Properties=species:S:1:pos:R:3 pbc="T T T"
S -0.3262 -1.1466 2.2948
S -0.5274 -2.2339 -1.1911
Nb 1.5711 -3.9777 1.1500
Cl 2.4248 -0.5972 0.0463
Te 0.0000 0.0000 0.0000
```

Computed properties:
Distance to the lowest polymorph of the same formula: 992 meV per atom
ρ: 3.98 Mg/m³
N(E_F): 6.45 states/eV/f.u.
E_form (uncorrected): 0.8396 eV per atom

Total energy values (in eV/atom) by entry order: -4.81, -3.82.